Record 1
Here is an optimized crystal structure of SrErOsO6 from Alexandria. Energies are from PBE.

Computed properties:
Magnetic moment: 0.1151 μB per atom
Symmetry: P-31c (163)
Raw total energy: -7.41 eV per atom
Calculated volume: 15.4 Å³ per atom

Cell: 5.542 5.542 10.454 Å, 90.00 90.00 120.00°
Last column: magnetic moment on the atom in μB.
Positions (direct):
1 Sr 0.000 0.000 0.000  0.01
2 Sr 0.000 0.000 0.500  0.01
3 Er 0.333 0.667 0.250  0.04
4 Er 0.667 0.333 0.750  0.04
5 Os 0.667 0.333 0.250  0.68
6 Os 0.333 0.667 0.750  0.68
7 O 0.653 0.611 0.146  0.04
8 O 0.957 0.347 0.146  0.04
9 O 0.347 0.957 0.646  0.04
10 O 0.043 0.653 0.854  0.04
11 O 0.389 0.347 0.354  0.04
12 O 0.957 0.611 0.354  0.04
13 O 0.611 0.957 0.854  0.04
14 O 0.653 0.043 0.354  0.04
15 O 0.043 0.389 0.646  0.04
16 O 0.389 0.043 0.146  0.04
17 O 0.611 0.653 0.646  0.04
18 O 0.347 0.389 0.854  0.04



Record 2
Here is an optimized crystal structure of TbErOsO6 from Alexandria. Energies are from PBE.

Computed properties:
Magnetic moment: 0.2236 μB per atom
Symmetry: P-31c (163)
Raw total energy: -7.96 eV per atom
Calculated volume: 13.8 Å³ per atom

Cell: 5.461 5.461 9.591 Å, 90.00 90.00 120.00°
Last column: magnetic moment on the atom in μB.
Positions (direct):
1 Tb 0.000 0.000 0.000  0.07
2 Tb 0.000 0.000 0.500  0.07
3 Er 0.333 0.667 0.250  0.04
4 Er 0.667 0.333 0.750  0.04
5 Os 0.667 0.333 0.250  1.32
6 Os 0.333 0.667 0.750  1.32
7 O 0.670 0.630 0.136  0.07
8 O 0.960 0.330 0.136  0.07
9 O 0.330 0.960 0.636  0.07
10 O 0.040 0.670 0.864  0.07
11 O 0.370 0.330 0.364  0.07
12 O 0.960 0.630 0.364  0.07
13 O 0.630 0.960 0.864  0.07
14 O 0.670 0.040 0.364  0.07
15 O 0.040 0.370 0.636  0.07
16 O 0.370 0.040 0.136  0.07
17 O 0.630 0.670 0.636  0.07
18 O 0.330 0.370 0.864  0.07



Record 3
Here is an optimized crystal structure of Tb2ErOsO8 from Alexandria. Energies are from PBE.

Computed properties:
Magnetic moment: 0.0868 μB per atom
Symmetry: Cmmm (65)
Raw total energy: -7.93 eV per atom
Calculated volume: 14.4 Å³ per atom

Cell: 5.051 5.047 6.766 Å, 90.00 90.00 90.60°
Last column: magnetic moment on the atom in μB.
Positions (direct):
1 Tb 0.500 0.500 0.747  0.02
2 Tb 0.500 0.500 0.253  0.02
3 Er 0.000 0.000 0.500  0.05
4 Os 0.000 0.000 0.000  0.69
5 O 0.182 0.819 0.212  0.06
6 O 0.737 0.736 0.000  -0.01
7 O 0.818 0.181 0.212  0.06
8 O 0.818 0.181 0.788  0.06
9 O 0.263 0.264 0.000  -0.01
10 O 0.182 0.819 0.788  0.06
11 O 0.695 0.695 0.500  0.00
12 O 0.305 0.305 0.500  0.00



Record 4
Here is an optimized crystal structure of ErTl2OsO6 from Alexandria. Energies are from PBE.

Computed properties:
Magnetic moment: 0.0917 μB per atom
Symmetry: P-3m1 (164)
Raw total energy: -6.44 eV per atom
Calculated volume: 20.5 Å³ per atom

Cell: 5.708 6.433 6.433 Å, 120.00 90.00 90.00°
Last column: magnetic moment on the atom in μB.
Positions (direct):
1 Er 0.500 0.000 0.000  0.04
2 Tl 0.040 0.333 0.667  0.01
3 Tl 0.960 0.667 0.333  0.01
4 Os 0.000 0.000 0.000  0.55
5 O 0.796 0.137 0.274  0.04
6 O 0.796 0.137 0.863  0.04
7 O 0.796 0.726 0.863  0.04
8 O 0.204 0.863 0.137  0.04
9 O 0.204 0.274 0.137  0.04
10 O 0.204 0.863 0.726  0.04



Record 5
Here is an optimized crystal structure of ErTlOs2O8 from Alexandria. Energies are from PBE.

Computed properties:
Magnetic moment: 0.3352 μB per atom
Symmetry: P-3 (147)
Raw total energy: -7.14 eV per atom
Calculated volume: 20.2 Å³ per atom

Cell: 6.005 6.005 7.770 Å, 90.00 90.00 120.00°
Last column: magnetic moment on the atom in μB.
Positions (direct):
1 Er 0.000 0.000 0.500  0.10
2 Tl 0.000 0.000 0.000  0.02
3 Os 0.667 0.333 0.245  1.10
4 Os 0.333 0.667 0.755  1.10
5 O 0.333 0.667 0.982  0.20
6 O 0.337 0.177 0.324  0.15
7 O 0.823 0.160 0.324  0.15
8 O 0.667 0.333 0.018  0.20
9 O 0.177 0.840 0.676  0.15
10 O 0.663 0.823 0.676  0.15
11 O 0.160 0.337 0.676  0.15
12 O 0.840 0.663 0.324  0.15



Record 6
Here is an optimized crystal structure of Er2Tl2OsO6 from Alexandria. Energies are from PBE.

Computed properties:
Magnetic moment: 0.2228 μB per atom
Symmetry: C2/m (12)
Raw total energy: -6.89 eV per atom
Calculated volume: 18.2 Å³ per atom

Cell: 5.755 5.755 7.064 Å, 93.57 93.57 120.43°
Last column: magnetic moment on the atom in μB.
Positions (direct):
1 Er 0.335 0.665 0.500  0.05
2 Er 0.665 0.335 0.500  0.05
3 Tl 0.842 0.158 0.000  -0.01
4 Tl 0.158 0.842 0.000  -0.01
5 Os 0.000 0.000 0.500  1.75
6 O 0.722 0.722 0.651  0.11
7 O 0.019 0.328 0.649  0.08
8 O 0.278 0.278 0.349  0.11
9 O 0.328 0.019 0.649  0.08
10 O 0.981 0.672 0.351  0.08
11 O 0.672 0.981 0.351  0.08



Record 7
Here is an optimized crystal structure of ErTlOsO6 from Alexandria. Energies are from PBE.

Computed properties:
Magnetic moment: 0.0000 μB per atom
Symmetry: P312 (149)
Raw total energy: -6.91 eV per atom
Calculated volume: 16.6 Å³ per atom

Cell: 5.608 5.608 5.503 Å, 90.00 90.00 60.00°
Positions (direct):
1 Er 0.667 0.667 0.500
2 Tl 0.000 0.000 0.000
3 Os 0.333 0.333 0.500
4 O 0.045 0.365 0.302
5 O 0.365 0.045 0.698
6 O 0.590 0.365 0.698
7 O 0.045 0.590 0.698
8 O 0.365 0.590 0.302
9 O 0.590 0.045 0.302



Record 8
Here is an optimized crystal structure of ErTmOsO6 from Alexandria. Energies are from PBE.

Computed properties:
Magnetic moment: 0.2237 μB per atom
Symmetry: P-31c (163)
Raw total energy: -7.97 eV per atom
Calculated volume: 13.4 Å³ per atom

Cell: 5.420 5.420 9.464 Å, 90.00 90.00 120.00°
Last column: magnetic moment on the atom in μB.
Positions (direct):
1 Er 0.000 0.000 0.000  0.08
2 Er 0.000 0.000 0.500  0.08
3 Tm 0.333 0.667 0.250  0.04
4 Tm 0.667 0.333 0.750  0.04
5 Os 0.667 0.333 0.250  1.32
6 Os 0.333 0.667 0.750  1.32
7 O 0.672 0.633 0.134  0.07
8 O 0.961 0.328 0.134  0.07
9 O 0.328 0.961 0.634  0.07
10 O 0.039 0.672 0.866  0.07
11 O 0.367 0.328 0.366  0.07
12 O 0.961 0.633 0.366  0.07
13 O 0.633 0.961 0.866  0.07
14 O 0.672 0.039 0.366  0.07
15 O 0.039 0.367 0.634  0.07
16 O 0.367 0.039 0.134  0.07
17 O 0.633 0.672 0.634  0.07
18 O 0.328 0.367 0.866  0.07



raw total energy of number 4 (ErTl2OsO6)? -6.44 eV per atom